TmThAgSn: optimized geometry, PBE.

Results
DOS at the Fermi energy (states/eV per cell): 4.057
Raw total energy (eV/atom): -5.026
Volume (Å³/f.u.): 104.7
Energy of formation from the pure elements (meV per atom): -339

extended XYZ file:
```
4
Lattice="-4.364 2.154 -2.076 -4.552 -0.130 2.693 -1.986 4.453 2.054" Properties=species:S:1:pos:R:3 pbc="T T T"
Ag 0.000 0.000 0.000
Th -2.726 1.619 0.668
Sn -5.451 3.239 1.336
Tm -8.177 4.858 2.004
```